Record 1
Hf2Zr3O2 | PBE | optimized geometry

The size of the total moment is 0.0 μB/f.u. The calculation puts the uncorrected formation energy at -1.1819 eV per atom.

Cell lengths 10.768, 2.958, 8.068 Å; angles 90.00, 110.63, 90.00 degrees
Space group C2/m (No. 12)
Inequivalent atoms, fractional coordinates:
Hf 0.189 0.000 0.289 (multiplicity 4)
Zr 0.000 0.500 0.500 (multiplicity 2)
Zr 0.095 0.500 0.903 (multiplicity 4)
O 0.155 0.000 0.705 (multiplicity 4)

***

Record 2
HfZrO4 | PBE | optimized geometry

The size of the total moment is 0.0 μB/f.u. The calculation puts the uncorrected formation energy at -3.4052 eV per atom.

Cell lengths 12.772, 7.235, 7.235 Å; angles 90.00, 124.47, 90.00 degrees
Space group Cm (No. 8)
Inequivalent atoms, fractional coordinates:
Hf 0.000 0.000 0.000 (multiplicity 2)
Hf 0.000 0.000 0.499 (multiplicity 2)
Hf 0.250 0.251 0.499 (multiplicity 4)
Zr 0.248 0.251 0.997 (multiplicity 4)
Zr 0.498 0.000 0.497 (multiplicity 2)
Zr 0.498 0.000 0.998 (multiplicity 2)
O 0.095 0.000 0.345 (multiplicity 2)
O 0.095 0.000 0.844 (multiplicity 2)
O 0.098 0.500 0.847 (multiplicity 2)
O 0.099 0.500 0.348 (multiplicity 2)
O 0.152 0.247 0.153 (multiplicity 4)
O 0.152 0.247 0.648 (multiplicity 4)
O 0.345 0.000 0.595 (multiplicity 2)
O 0.345 0.500 0.596 (multiplicity 2)
O 0.348 0.000 0.098 (multiplicity 2)
O 0.349 0.500 0.099 (multiplicity 2)
O 0.402 0.252 0.899 (multiplicity 4)
O 0.402 0.253 0.405 (multiplicity 4)

***

Record 3
Hf5Zr3O2 | PBE | optimized geometry

The size of the total moment is 0.0 μB/f.u. The calculation puts the uncorrected formation energy at -1.0143 eV per atom.

Cell lengths 9.169, 12.794, 6.345 Å; angles 90.00, 90.00, 90.00 degrees
Space group Ibam (No. 72)
Inequivalent atoms, fractional coordinates:
Hf 0.000 0.000 0.250 (multiplicity 4)
Hf 0.000 0.248 0.250 (multiplicity 8)
Hf 0.245 0.126 0.000 (multiplicity 8)
Zr 0.000 0.500 0.250 (multiplicity 4)
Zr 0.245 0.126 0.500 (multiplicity 8)
O 0.004 0.373 0.500 (multiplicity 8)